Entry 1:
Sc4CuSbN2 PBE-GGA relaxed; energy = -7.326 eV per atom; space-group type = No. 187
1.0
-2.603 -1.993 -0.047
2.938 -1.161 0.879
-2.652 3.155 13.038
Sc N Sb Cu
4 2 1 1
direct
0.667 0.333 0.352
0.333 0.667 0.174
0.333 0.667 0.826
0.667 0.333 0.648
0.000 0.000 0.255
0.000 0.000 0.745
0.667 0.333 0.000
0.333 0.667 0.500

=====

Entry 2:
Ta4CuSbN2 PBE-GGA relaxed; energy = -9.318 eV per atom; space-group type = No. 187
1.0
-1.056 -2.434 -1.815
0.076 -0.296 3.200
-12.155 4.733 0.728
N Ta Cu Sb
2 4 1 1
direct
0.333 0.667 0.760
0.333 0.667 0.240
0.667 0.333 0.154
0.667 0.333 0.846
0.000 0.000 0.328
0.000 0.000 0.672
0.000 0.000 0.000
0.667 0.333 0.500

=====

Entry 3:
Zr4CuSbN2 PBE-GGA relaxed; energy = -8.272 eV per atom; space-group type = No. 187
1.0
3.343 0.000 0.000
-1.671 2.895 0.000
0.000 0.000 13.635
N Zr Cu Sb
2 4 1 1
direct
0.000 0.000 0.738
0.000 0.000 0.262
0.667 0.333 0.351
0.333 0.667 0.168
0.667 0.333 0.649
0.333 0.667 0.832
0.333 0.667 0.500
0.667 0.333 0.000

=====

Entry 4:
Sc3CuN2 PBE-GGA relaxed; energy = -7.814 eV per atom; space-group type = No. 194
1.0
-2.732 -0.528 -1.538
2.623 -1.597 -0.825
-4.360 -13.567 12.400
Sc Cu N
6 2 4
direct
0.000 0.000 0.500
0.333 0.667 0.635
0.333 0.667 0.865
0.000 0.000 0.000
0.667 0.333 0.365
0.667 0.333 0.135
0.000 0.000 0.250
0.000 0.000 0.750
0.667 0.333 0.571
0.667 0.333 0.929
0.333 0.667 0.071
0.333 0.667 0.429

=====

Entry 5:
Sc3CuN PBE-GGA relaxed; energy = -7.098 eV per atom; space-group type = No. 2
1.0
-3.326 2.873 4.238
2.337 -3.644 4.326
2.805 2.464 4.882
Sc N Cu
6 2 2
direct
0.704 0.817 0.979
0.788 0.288 0.037
0.242 0.280 0.500
0.758 0.720 0.500
0.296 0.183 0.021
0.212 0.712 0.963
0.000 0.000 0.000
0.500 0.500 0.000
0.248 0.743 0.499
0.752 0.257 0.501

=====

Entry 6:
Sc4CuSiN2 PBE-GGA relaxed; energy = -7.465 eV per atom; space-group type = No. 187
1.0
-2.034 -1.919 -1.536
0.933 -0.712 2.966
-10.449 7.085 4.988
N Si Sc Cu
2 1 4 1
direct
0.333 0.667 0.748
0.333 0.667 0.252
0.667 0.333 0.500
0.000 0.000 0.341
0.667 0.333 0.156
0.000 0.000 0.659
0.667 0.333 0.844
0.000 0.000 0.000

=====

Entry 7:
Sc4Ta2Cu3N3 PBE-GGA relaxed; energy = -7.901 eV per atom; space-group type = No. 15
1.0
5.481 0.000 0.000
-2.738 4.748 0.000
-2.731 -1.589 13.406
Ta Sc Cu N
4 8 6 6
direct
0.053 0.354 0.579
0.275 0.473 0.921
0.725 0.527 0.079
0.947 0.646 0.421
0.402 0.874 0.099
0.274 0.302 0.401
0.598 0.126 0.901
0.405 0.037 0.600
0.595 0.963 0.400
0.063 0.194 0.100
0.937 0.806 0.900
0.726 0.698 0.599
0.570 0.590 0.249
0.105 0.855 0.250
0.430 0.410 0.751
0.895 0.145 0.750
0.841 0.321 0.251
0.159 0.679 0.749
0.334 0.667 0.500
0.666 0.333 0.500
0.333 0.167 0.000
0.000 0.500 0.000
0.667 0.833 0.000
0.000 0.000 0.500

=====

Entry 8:
Sc2Ta4Cu3N3 PBE-GGA relaxed; energy = -8.722 eV per atom; space-group type = No. 15
1.0
5.375 0.000 0.000
2.688 4.664 0.000
2.688 1.544 13.354
Sc Ta Cu N
4 8 6 6
direct
0.625 0.300 0.613
0.538 0.200 0.887
0.375 0.700 0.387
0.462 0.800 0.113
0.979 0.636 0.585
0.200 0.864 0.915
0.021 0.364 0.415
0.143 0.465 0.085
0.857 0.535 0.915
0.800 0.136 0.085
0.307 0.965 0.585
0.693 0.035 0.415
0.109 0.725 0.751
0.061 0.250 0.750
0.939 0.750 0.250
0.891 0.275 0.249
0.585 0.775 0.749
0.415 0.225 0.251
0.500 0.500 0.000
0.340 0.340 0.500
0.660 0.660 0.500
0.000 0.000 0.500
0.820 0.840 0.000
0.180 0.160 0.000

=====

Entry 9:
Sc2Cu3W4N3 PBE-GGA relaxed; energy = -8.719 eV per atom; space-group type = No. 15
1.0
4.602 -2.681 0.000
4.602 2.681 0.000
-3.031 0.000 12.895
N Sc W Cu
6 4 8 6
direct
0.000 0.500 0.000
0.202 0.649 0.500
0.798 0.351 0.500
0.500 0.000 0.500
0.649 0.202 0.000
0.351 0.798 0.000
0.624 0.463 0.885
0.376 0.537 0.115
0.537 0.376 0.615
0.463 0.624 0.385
0.306 0.134 0.919
0.134 0.306 0.419
0.035 0.186 0.080
0.866 0.694 0.581
0.965 0.814 0.920
0.814 0.965 0.420
0.694 0.866 0.081
0.186 0.035 0.580
0.052 0.948 0.750
0.419 0.110 0.251
0.890 0.581 0.249
0.110 0.419 0.751
0.948 0.052 0.250
0.581 0.890 0.749

=====

Entry 10:
Y4Sc2Cu3N3 PBE-GGA relaxed; energy = -7.084 eV per atom; space-group type = No. 15
1.0
-0.283 5.631 1.680
-2.642 1.457 5.051
12.990 -3.701 4.510
Sc N Cu Y
4 6 6 8
direct
0.649 0.475 0.423
0.351 0.525 0.577
0.475 0.649 0.923
0.525 0.351 0.077
0.824 0.337 0.000
0.337 0.824 0.500
0.000 0.500 0.500
0.500 0.000 0.000
0.176 0.663 0.000
0.663 0.176 0.500
0.830 0.170 0.250
0.340 0.413 0.251
0.660 0.587 0.749
0.587 0.660 0.249
0.170 0.830 0.750
0.413 0.340 0.751
0.195 0.041 0.106
0.805 0.959 0.894
0.702 0.874 0.606
0.959 0.805 0.394
0.126 0.298 0.894
0.041 0.195 0.606
0.298 0.126 0.394
0.874 0.702 0.106

=====

Entry 11:
Y2Sc4Cu3N3 PBE-GGA relaxed; energy = -7.144 eV per atom; space-group type = No. 15
1.0
4.847 -2.796 0.000
4.847 2.796 0.000
-3.316 0.000 13.908
Sc N Cu Y
8 6 6 4
direct
0.978 0.799 0.416
0.022 0.201 0.584
0.306 0.144 0.416
0.694 0.856 0.584
0.144 0.306 0.916
0.201 0.022 0.084
0.799 0.978 0.916
0.856 0.694 0.084
0.000 0.500 0.500
0.159 0.671 0.000
0.329 0.841 0.500
0.500 0.000 0.000
0.671 0.159 0.500
0.841 0.329 0.000
0.076 0.924 0.250
0.904 0.585 0.750
0.585 0.904 0.250
0.096 0.415 0.250
0.415 0.096 0.750
0.924 0.076 0.750
0.625 0.460 0.385
0.375 0.540 0.615
0.540 0.375 0.115
0.460 0.625 0.885

=====

Entry 12:
Zr2Sc4Cu3N3 PBE-GGA relaxed; energy = -7.436 eV per atom; space-group type = No. 15
1.0
-3.577 3.711 -1.892
-5.295 -0.318 1.419
5.449 6.741 11.032
Sc N Zr Cu
8 6 4 6
direct
0.199 0.027 0.086
0.696 0.859 0.586
0.973 0.801 0.414
0.859 0.696 0.086
0.304 0.141 0.414
0.801 0.973 0.914
0.027 0.199 0.586
0.141 0.304 0.914
0.000 0.500 0.500
0.337 0.827 0.500
0.827 0.337 0.000
0.663 0.173 0.500
0.173 0.663 0.000
0.500 0.000 0.000
0.464 0.627 0.895
0.627 0.464 0.395
0.536 0.373 0.105
0.373 0.536 0.605
0.107 0.416 0.251
0.584 0.893 0.249
0.072 0.928 0.250
0.416 0.107 0.751
0.893 0.584 0.749
0.928 0.072 0.750